Cs2KZnI6: relaxed, PBE.

Calculated values
* uncorrected energy: -2.2989 eV per atom
* V: 48.09 Å³ per atom
* total moment: 0.00 Bohr magnetons per cell

Cell lengths 8.7928, 8.7928, 8.7951 Å; angles 60.01, 60.01, 90.00 degrees
Positions (direct):
Cs 0.2500 0.7500 0.5000
Cs 0.7500 0.2500 0.5000
I 0.2283 0.7717 0.0000
I 0.7717 0.7717 0.4567
I 0.2283 0.2283 0.0000
I 0.7717 0.7717 0.0000
I 0.7717 0.2283 0.0000
I 0.2283 0.2283 0.5433
Zn 0.0000 0.0000 0.0000
K 0.5000 0.5000 0.0000